# Ca3CeSe4, optimized geometry, DFT GGA-PBE
# Energy relative to the elements, uncorrected = -1.922 eV per atom
# Total magnetic moment = 2.78 μB per cell
# V = 425.53 Å³ per cell
data_Ca3CeSe4
_chemical_formula_sum 'Ca6 Ce2 Se8'
_space_group_name_H-M_alt 'C m m m'
_space_group_IT_number 65
_space_group_name_Hall '-C 2 2'
_cell_length_a 8.4651
_cell_length_b 11.9557
_cell_length_c 4.2045
_cell_angle_alpha 90.00
_cell_angle_beta 90.00
_cell_angle_gamma 90.00
loop_
_atom_site_label
_atom_site_type_symbol
_atom_site_fract_x
_atom_site_fract_y
_atom_site_fract_z
Ca1 Ca 0.0000 0.0000 0.0000
Ca2 Ca 0.2500 0.2500 0.5000
Ce1 Ce 0.0000 0.5000 0.0000
Se1 Se 0.0000 0.2490 0.0000
Se2 Se 0.2461 0.0000 0.5000